BeTeW2: relaxed, PBE-GGA.

```
BeTeW2
1.0
3.2410 0.0000 0.0000
0.0000 3.2410 0.0000
0.0000 0.0000 6.0436
Be Te W
1 1 2
direct
0.0000 0.0000 0.0000 Be
0.5000 0.5000 0.3035 Te
0.0000 0.0000 0.5806 W
0.5000 0.5000 0.8450 W
```

Values from the calculation:
Magnetic moment, Bohr magnetons per cell: 0.00
Excess energy over the best structure of this formula in the dataset, meV per atom: 0
Total energy, eV/atom: -7.8865
ρ, Mg/m³: 13.2



K2AcPrO4: relaxed, PBE-GGA.

```
K2AcPrO4
1.0
6.5410 0.0000 0.0000
0.0000 3.7689 0.0000
-2.1822 0.0000 6.3404
K Ac Pr O
2 1 1 4
direct
0.0000 0.0000 0.0000 K
0.5000 0.5000 0.0000 K
0.0000 0.5000 0.5000 Ac
0.5000 0.0000 0.5000 Pr
0.2404 0.0000 0.6943 O
0.2761 0.5000 0.3074 O
0.7239 0.5000 0.6926 O
0.7596 0.0000 0.3057 O
```

Values from the calculation:
Magnetic moment, Bohr magnetons per cell: 0.00
Total energy, eV/atom: -6.4285
ρ, Mg/m³: 5.4



Values of E_form (uncorrected), in order: 0.31; -2.56, all in eV/atom.